Here is an optimized crystal structure of TaV2CoO8 from the Alexandria database. Energies are from GGA+U.

abc: 4.617 4.617 5.871
angles: 90.00 90.00 90.19
Fractional coordinates of all 12 atoms:
Ta 0.000 0.000 0.000
V 0.500 0.500 0.267
V 0.500 0.500 0.733
Co 0.000 0.000 0.500
O 0.200 0.800 0.254
O 0.200 0.800 0.746
O 0.296 0.296 0.500
O 0.309 0.309 0.000
O 0.691 0.691 0.000
O 0.704 0.704 0.500
O 0.800 0.200 0.254
O 0.800 0.200 0.746

Calculated values
raw total energy: -7.91 eV/atom
space group: Cmmm (65)